1) Compound: LiMnOF2
Source: Alexandria via LeMat-Bulk
Functional: GGA-PBEsol
Structure: optimized geometry

Lattice parameters (Å, degrees): 4.8890 5.1255 8.3143 90.00 90.00 90.00
Atoms (fractional coordinates):
Li  0.0000  0.0000  0.0000
Li  0.0000  0.5000  0.4011
Li  0.5000  0.0000  0.9011
Li  0.5000  0.5000  0.5000
Mn  0.0000  0.0000  0.6441
Mn  0.0000  0.5000  0.8093
Mn  0.5000  0.0000  0.3093
Mn  0.5000  0.5000  0.1441
O  0.1805  0.1833  0.8020
O  0.3195  0.6833  0.3020
O  0.6805  0.3167  0.3020
O  0.8195  0.8167  0.8020
F  0.2281  0.1641  0.4712
F  0.2301  0.6480  0.6270
F  0.2699  0.1480  0.1270
F  0.2719  0.6641  0.9712
F  0.7281  0.3359  0.9712
F  0.7301  0.8520  0.1270
F  0.7699  0.3520  0.6270
F  0.7719  0.8359  0.4712


2) Compound: LiMnOF2
Source: Alexandria via LeMat-Bulk
Functional: GGA-PBEsol
Structure: optimized geometry

Lattice parameters (Å, degrees): 4.9897 5.1284 9.5908 77.02 76.59 62.19
Atoms (fractional coordinates):
Li  0.0639  0.0876  0.2926
Li  0.3902  0.4845  0.2095
Li  0.6098  0.5155  0.7905
Li  0.9361  0.9124  0.7074
Mn  0.1582  0.1598  0.9866
Mn  0.2995  0.3373  0.5167
Mn  0.7005  0.6627  0.4833
Mn  0.8418  0.8402  0.0134
O  0.0539  0.4046  0.3840
O  0.0906  0.8654  0.1182
O  0.9094  0.1346  0.8818
O  0.9461  0.5954  0.6160
F  0.2072  0.5010  0.8750
F  0.3448  0.8954  0.6157
F  0.4019  0.1593  0.1186
F  0.4075  0.7073  0.3688
F  0.5925  0.2927  0.6312
F  0.5981  0.8407  0.8814
F  0.6552  0.1046  0.3843
F  0.7928  0.4990  0.1250


3) Compound: LiMnOF2
Source: Alexandria via LeMat-Bulk
Functional: GGA-PBEsol
Structure: optimized geometry

Lattice parameters (Å, degrees): 4.9902 4.9902 5.6400 120.34 120.34 63.12
Atoms (fractional coordinates):
Li  0.2143  0.7857  0.5000
Li  0.7857  0.2143  0.0000
Mn  0.0445  0.5372  0.8728
Mn  0.5372  0.0445  0.3728
O  0.1683  0.9082  0.1579
O  0.9082  0.1683  0.6579
F  0.3019  0.4317  0.6184
F  0.4317  0.3019  0.1184
F  0.6529  0.8045  0.6737
F  0.8045  0.6529  0.1737


Which is most stable? The ranking, best first, is 2), 3), 1).


1) Compound: LiMnOF2
Source: Alexandria via LeMat-Bulk
Functional: GGA-PBEsol
Structure: optimized geometry

Lattice parameters (Å, degrees): 5.2860 5.2860 9.2727 111.89 111.89 61.01
Atoms (fractional coordinates):
Li  0.0381  0.6559  0.8424
Li  0.3441  0.9619  0.6576
Li  0.6559  0.0381  0.3424
Li  0.9619  0.3441  0.1576
Mn  0.0000  0.5000  0.5000
Mn  0.3284  0.6716  0.2500
Mn  0.5000  0.0000  0.0000
Mn  0.6716  0.3284  0.7500
O  0.2833  0.3851  0.6797
O  0.3851  0.2833  0.1797
O  0.6149  0.7167  0.8203
O  0.7167  0.6149  0.3203
F  0.0942  0.2246  0.8445
F  0.2037  0.7001  0.4744
F  0.2246  0.0942  0.3445
F  0.2999  0.7963  0.0256
F  0.7001  0.2037  0.9744
F  0.7754  0.9058  0.6555
F  0.7963  0.2999  0.5256
F  0.9058  0.7754  0.1555


2) Compound: LiMnOF2
Source: Alexandria via LeMat-Bulk
Functional: GGA-PBEsol
Structure: optimized geometry

Lattice parameters (Å, degrees): 5.2712 6.9375 5.4514 90.00 90.00 90.00
Atoms (fractional coordinates):
Li  0.0392  0.2500  0.0520
Li  0.4608  0.7500  0.5520
Li  0.5392  0.2500  0.4480
Li  0.9608  0.7500  0.9480
Mn  0.0000  0.0000  0.5000
Mn  0.0000  0.5000  0.5000
Mn  0.5000  0.0000  0.0000
Mn  0.5000  0.5000  0.0000
O  0.0667  0.7500  0.6002
O  0.4333  0.2500  0.1002
O  0.5667  0.7500  0.8998
O  0.9333  0.2500  0.3998
F  0.1757  0.5628  0.1441
F  0.1757  0.9372  0.1441
F  0.3243  0.0628  0.6441
F  0.3243  0.4372  0.6441
F  0.6757  0.5628  0.3559
F  0.6757  0.9372  0.3559
F  0.8243  0.0628  0.8559
F  0.8243  0.4372  0.8559


Which is most stable? The ranking, best first, is 1), 2).


1) Compound: Li4MnO2F3
Source: Alexandria via LeMat-Bulk
Functional: GGA-PBEsol
Structure: optimized geometry

Lattice parameters (Å, degrees): 4.9994 4.9994 6.4774 128.22 128.22 45.45
Atoms (fractional coordinates):
Li  0.0000  0.0000  0.0000
Li  0.1928  0.1928  0.5576
Li  0.5858  0.5858  0.7685
Li  0.8083  0.8083  0.4026
Mn  0.3800  0.3800  0.1885
O  0.2959  0.2959  0.3692
O  0.8894  0.8894  0.1753
F  0.0821  0.0821  0.7756
F  0.4678  0.4678  0.9697
F  0.6949  0.6949  0.5824


2) Compound: Li4MnO2F3
Source: Alexandria via LeMat-Bulk
Functional: GGA-PBEsol
Structure: optimized geometry

Lattice parameters (Å, degrees): 4.9915 5.1728 7.4989 109.78 103.74 96.66
Atoms (fractional coordinates):
Li  0.0000  0.0000  0.0000
Li  0.0042  0.6105  0.1855
Li  0.0080  0.7939  0.5903
Li  0.4936  0.7670  0.0937
Li  0.5000  0.0000  0.5000
Li  0.5064  0.2330  0.9063
Li  0.9920  0.2061  0.4097
Li  0.9958  0.3895  0.8145
Mn  0.4805  0.4035  0.2987
Mn  0.5195  0.5965  0.7013
O  0.2591  0.3932  0.0659
O  0.2725  0.5925  0.4582
O  0.7275  0.4075  0.5418
O  0.7409  0.6068  0.9341
F  0.2362  0.1810  0.6491
F  0.2427  0.9824  0.2467
F  0.2623  0.7891  0.8414
F  0.7377  0.2109  0.1586
F  0.7573  0.0176  0.7533
F  0.7638  0.8190  0.3509


Which is most stable? The ranking, best first, is 2), 1).


1) Compound: LiMn3O2F6
Source: Alexandria via LeMat-Bulk
Functional: GGA-PBEsol
Structure: optimized geometry

Lattice parameters (Å, degrees): 5.4364 4.6221 10.1688 90.00 96.46 90.00
Atoms (fractional coordinates):
Li  0.0000  0.0000  0.0000
Li  0.0000  0.5000  0.5000
Mn  0.2676  0.0305  0.7534
Mn  0.2676  0.4695  0.2534
Mn  0.5000  0.0000  0.5000
Mn  0.5000  0.5000  0.0000
Mn  0.7324  0.5305  0.7466
Mn  0.7324  0.9695  0.2466
O  0.4840  0.1699  0.3260
O  0.4840  0.3301  0.8260
O  0.5160  0.6699  0.1740
O  0.5160  0.8301  0.6740
F  0.0161  0.7254  0.6837
F  0.0161  0.7746  0.1837
F  0.2169  0.2039  0.5728
F  0.2169  0.2961  0.0728
F  0.2857  0.6790  0.4232
F  0.2857  0.8210  0.9232
F  0.7143  0.1790  0.0768
F  0.7143  0.3210  0.5768
F  0.7831  0.7039  0.9272
F  0.7831  0.7961  0.4272
F  0.9839  0.2254  0.8163
F  0.9839  0.2746  0.3163


2) Compound: LiMn3O2F6
Source: Alexandria via LeMat-Bulk
Functional: GGA-PBEsol
Structure: optimized geometry

Lattice parameters (Å, degrees): 5.1368 6.8282 7.4384 100.71 90.71 90.19
Atoms (fractional coordinates):
Li  0.2134  0.3365  0.1649
Li  0.7866  0.6635  0.8351
Mn  0.2399  0.3268  0.6720
Mn  0.2675  0.8124  0.6837
Mn  0.2855  0.8354  0.1813
Mn  0.7145  0.1646  0.8187
Mn  0.7325  0.1876  0.3163
Mn  0.7601  0.6732  0.3280
O  0.1128  0.5753  0.6940
O  0.4052  0.0765  0.6982
O  0.5948  0.9235  0.3018
O  0.8872  0.4247  0.3060
F  0.0431  0.2978  0.9011
F  0.0946  0.0729  0.1959
F  0.1085  0.8142  0.4442
F  0.4012  0.3128  0.4396
F  0.4150  0.5752  0.1803
F  0.4319  0.8103  0.9168
F  0.5681  0.1897  0.0832
F  0.5850  0.4248  0.8197
F  0.5988  0.6872  0.5604
F  0.8915  0.1858  0.5558
F  0.9054  0.9271  0.8041
F  0.9569  0.7022  0.0989


Which is most stable? The ranking, best first, is 1), 2).


1) Compound: LiMn2O2F3
Source: Alexandria via LeMat-Bulk
Functional: GGA-PBEsol
Structure: optimized geometry

Lattice parameters (Å, degrees): 5.9962 5.9962 6.7399 108.21 108.21 47.96
Atoms (fractional coordinates):
Li  0.0000  0.0000  0.0000
Li  0.0000  0.0000  0.5000
Mn  0.2852  0.3382  0.6340
Mn  0.3382  0.2852  0.1340
Mn  0.6618  0.7148  0.8660
Mn  0.7148  0.6618  0.3660
O  0.1213  0.4795  0.3667
O  0.4795  0.1213  0.8667
O  0.5205  0.8787  0.1333
O  0.8787  0.5205  0.6333
F  0.0841  0.6740  0.0546
F  0.2846  0.7154  0.7500
F  0.3260  0.9159  0.4454
F  0.6740  0.0841  0.5546
F  0.7154  0.2846  0.2500
F  0.9159  0.3260  0.9454


2) Compound: LiMn2O2F3
Source: Alexandria via LeMat-Bulk
Functional: GGA-PBEsol
Structure: optimized geometry

Lattice parameters (Å, degrees): 5.1452 5.1452 10.2376 91.10 91.10 42.98
Atoms (fractional coordinates):
Li  0.1378  0.1378  0.0441
Li  0.8622  0.8622  0.9559
Mn  0.1403  0.1403  0.4522
Mn  0.1800  0.1800  0.7534
Mn  0.8200  0.8200  0.2466
Mn  0.8597  0.8597  0.5478
O  0.0475  0.0475  0.6112
O  0.3171  0.3171  0.5594
O  0.6829  0.6829  0.4406
O  0.9525  0.9525  0.3888
F  0.0358  0.0358  0.8785
F  0.2359  0.2359  0.2778
F  0.3013  0.3013  0.9122
F  0.6987  0.6987  0.0878
F  0.7641  0.7641  0.7222
F  0.9642  0.9642  0.1215


3) Compound: LiMn2O2F3
Source: Alexandria via LeMat-Bulk
Functional: GGA-PBEsol
Structure: optimized geometry

Lattice parameters (Å, degrees): 5.1685 5.1685 10.3616 90.00 90.00 137.98
Atoms (fractional coordinates):
Li  0.1735  0.8265  0.7500
Li  0.8265  0.1735  0.2500
Mn  0.1545  0.8455  0.0582
Mn  0.1545  0.8455  0.4418
Mn  0.8455  0.1545  0.5582
Mn  0.8455  0.1545  0.9418
O  0.3104  0.6896  0.5574
O  0.3104  0.6896  0.9426
O  0.6896  0.3104  0.0574
O  0.6896  0.3104  0.4426
F  0.0301  0.9699  0.6209
F  0.0301  0.9699  0.8791
F  0.2465  0.7535  0.2500
F  0.7535  0.2465  0.7500
F  0.9699  0.0301  0.1209
F  0.9699  0.0301  0.3791


Which is most stable? The ranking, best first, is 1), 3), 2).


1) Compound: LiTiN2F
Source: Alexandria via LeMat-Bulk
Functional: GGA-PBEsol
Structure: optimized geometry

Lattice parameters (Å, degrees): 3.5405 3.5405 3.3138 90.00 90.00 90.00
Atoms (fractional coordinates):
Li  0.0000  0.0000  0.0000
Ti  0.5000  0.5000  0.5000
N  0.0000  0.5000  0.0000
N  0.5000  0.0000  0.0000
F  0.0000  0.0000  0.5000


2) Compound: LiTiN2F
Source: Alexandria via LeMat-Bulk
Functional: GGA-PBEsol
Structure: optimized geometry

Lattice parameters (Å, degrees): 3.8479 3.8479 4.0261 90.00 90.00 90.00
Atoms (fractional coordinates):
Li  0.0000  0.0000  0.0000
Ti  0.5000  0.5000  0.5000
N  0.0000  0.5000  0.5000
N  0.5000  0.0000  0.5000
F  0.5000  0.5000  0.0000


Which is most stable? The ranking, best first, is 2), 1).


1) Compound: Li5VO4F
Source: Alexandria via LeMat-Bulk
Functional: GGA-PBEsol
Structure: optimized geometry

Lattice parameters (Å, degrees): 5.1193 8.7849 5.1800 90.00 112.26 90.00
Atoms (fractional coordinates):
Li  0.1645  0.0000  0.0104
Li  0.1795  0.2861  0.9113
Li  0.2241  0.1826  0.4072
Li  0.2917  0.8139  0.5053
Li  0.3131  0.6967  0.0525
Li  0.6869  0.1967  0.9475
Li  0.7083  0.3139  0.4947
Li  0.7759  0.6826  0.5928
Li  0.8205  0.7861  0.0887
Li  0.8355  0.5000  0.9896
V  0.2557  0.5147  0.5896
V  0.7443  0.0147  0.4104
O  0.0368  0.9813  0.3116
O  0.1049  0.6311  0.2845
O  0.4332  0.3356  0.6826
O  0.4818  0.1485  0.1937
O  0.5182  0.6485  0.8063
O  0.5668  0.8356  0.3174
O  0.8951  0.1311  0.7155
O  0.9632  0.4813  0.6884
F  0.0322  0.8203  0.8182
F  0.9678  0.3203  0.1818


2) Compound: Li5VO4F
Source: Alexandria via LeMat-Bulk
Functional: GGA-PBEsol
Structure: optimized geometry

Lattice parameters (Å, degrees): 5.0692 5.0692 5.7206 106.91 106.91 44.88
Atoms (fractional coordinates):
Li  0.0000  0.0000  0.0000
Li  0.0269  0.0269  0.4488
Li  0.3805  0.3805  0.1930
Li  0.4076  0.4076  0.6458
Li  0.6994  0.6994  0.8237
V  0.6849  0.6849  0.2837
O  0.1971  0.1971  0.3090
O  0.5376  0.5376  0.9917
O  0.5644  0.5644  0.4970
O  0.8455  0.8455  0.1542
F  0.8685  0.8685  0.6547


Which is most stable? The ranking, best first, is 2), 1).